Record 1
{
  "formula": "CaGa2Te2",
  "functional": "PBE",
  "state": "relaxed",
  "lattice_angstrom": [[-2.091, 6.622, -4.720], [-1.914, -5.138, -6.360], [-4.148, -0.266, 1.464]],
  "species": ["Ca", "Ca", "Ga", "Ga", "Ga", "Ga", "Te", "Te", "Te", "Te"],
  "fractional_positions": [[0.500, 0.500, 0.000], [0.000, 0.000, 0.000], [0.116, 0.616, 0.500], [0.884, 0.384, 0.500], [0.384, 0.116, 0.500], [0.616, 0.884, 0.500], [0.312, 0.812, 0.000], [0.812, 0.688, 0.000], [0.188, 0.312, 0.000], [0.688, 0.188, 0.000]],
  "formation_energy_uncorrected_ev_per_atom": -0.447,
  "dft_energy_ev_per_atom": -3.315,
  "spacegroup": "No. 127",
  "de_polymorph_mev_per_atom": 85.4
}

Record 2
{
  "formula": "CaGaTe2",
  "functional": "PBE",
  "state": "relaxed",
  "lattice_angstrom": [[4.866, 4.872, 6.474], [3.608, 1.492, 8.607], [7.025, 1.292, 6.190]],
  "species": ["Te", "Te", "Ga", "Ca"],
  "fractional_positions": [[0.890, 0.890, 0.890], [0.110, 0.110, 0.110], [0.500, 0.500, 0.500], [0.000, 0.000, 0.000]],
  "formation_energy_uncorrected_ev_per_atom": -0.281,
  "dft_energy_ev_per_atom": -3.109,
  "spacegroup": "No. 166"
}